[1]
{
  "formula": "ThHgPd2",
  "functional": "PBE",
  "state": "relaxed",
  "lattice_angstrom": [[1.922, -10.942, 0.000], [1.922, 10.942, 0.000], [0.000, 0.000, 4.761]],
  "species": ["Th", "Th", "Hg", "Hg", "Pd", "Pd", "Pd", "Pd"],
  "fractional_positions": [[0.190, 0.810, 0.750], [0.810, 0.190, 0.250], [0.462, 0.538, 0.750], [0.538, 0.462, 0.250], [0.325, 0.675, 0.750], [0.403, 0.597, 0.250], [0.597, 0.403, 0.750], [0.675, 0.325, 0.250]],
  "formation_enthalpy_0k_kj_per_mol_fu": -162,
  "energy_ev_per_atom": -4.948
}


[2]
{
  "formula": "SiNi2As",
  "functional": "PBE",
  "state": "relaxed",
  "lattice_angstrom": [[1.414, 0.816, 7.422], [-1.414, 0.816, 7.422], [0.000, -1.633, 7.422]],
  "species": ["Si", "Ni", "Ni", "As"],
  "fractional_positions": [[0.000, 0.000, 0.000], [0.254, 0.254, 0.254], [0.746, 0.746, 0.746], [0.500, 0.500, 0.500]],
  "e_form_raw_ev_per_atom": -0.138,
  "energy_ev_per_atom": -5.547
}


[3]
{
  "formula": "LaEr3In2",
  "functional": "PBE",
  "state": "relaxed",
  "lattice_angstrom": [[5.223, 0.000, 0.000], [0.000, 9.936, 0.000], [0.000, 0.000, 6.723]],
  "species": ["La", "La", "Er", "Er", "Er", "Er", "Er", "Er", "In", "In", "In", "In"],
  "fractional_positions": [[0.000, 0.038, 0.000], [0.000, 0.962, 0.500], [0.000, 0.323, 0.636], [0.000, 0.677, 0.136], [0.500, 0.192, 0.275], [0.500, 0.459, 0.919], [0.500, 0.541, 0.419], [0.500, 0.808, 0.775], [0.000, 0.363, 0.166], [0.000, 0.637, 0.666], [0.500, 0.148, 0.741], [0.500, 0.852, 0.241]],
  "formation_enthalpy_0k_kj_per_mol_fu": -199,
  "energy_ev_per_atom": -4.360
}


[4]
{
  "formula": "LaDySe",
  "functional": "PBE",
  "state": "relaxed",
  "lattice_angstrom": [[4.458, -5.448, 0.000], [4.458, 5.448, 0.000], [0.000, 0.000, 7.662]],
  "species": ["La", "La", "La", "La", "Dy", "Dy", "Dy", "Dy", "Se", "Se", "Se", "Se"],
  "fractional_positions": [[0.204, 0.204, 0.000], [0.296, 0.296, 0.500], [0.704, 0.704, 0.500], [0.796, 0.796, 0.000], [0.201, 0.799, 0.665], [0.299, 0.701, 0.165], [0.701, 0.299, 0.835], [0.799, 0.201, 0.335], [0.065, 0.935, 0.305], [0.435, 0.565, 0.805], [0.565, 0.435, 0.195], [0.935, 0.065, 0.695]],
  "e_form_raw_ev_per_atom": -1.031,
  "energy_ev_per_atom": -5.369
}